(1)
The following is a DFT calculation (PBE) of a relaxed structure of NdHo2Er4Sc.

POSCAR file:
```
NdHo2Er4Sc
1.0
-2.270 9.020 -0.970
-7.584 -1.113 5.356
10.513 -4.627 1.419
Nd Ho Er Sc
2 4 8 2
Direct
0.500 0.500 0.500 Nd
0.000 0.000 0.000 Nd
0.500 0.000 0.000 Ho
0.500 0.000 0.500 Ho
0.000 0.000 0.500 Ho
0.500 0.500 0.000 Ho
0.246 0.742 0.994 Er
0.758 0.254 0.506 Er
0.242 0.746 0.494 Er
0.754 0.258 0.006 Er
0.757 0.741 0.001 Er
0.759 0.743 0.499 Er
0.241 0.257 0.501 Er
0.243 0.259 0.999 Er
0.000 0.500 0.000 Sc
0.000 0.500 0.500 Sc
```

Summary:
* V: 253 Å³/f.u.
* E_tot: -0.16045 Ha/atom
* calculated formation energy: 0.4472 eV/atom
* DOS(E_F): 2.221 states/eV/atom

---

(2)
The following is a DFT calculation (PBE) of a relaxed structure of NdHoErSc.

POSCAR file:
```
NdHoErSc
1.0
5.559 0.000 0.000
2.779 4.814 0.000
2.779 1.605 4.539
Sc Nd Ho Er
1 1 1 1
Direct
0.000 0.000 0.000 Sc
0.750 0.750 0.750 Nd
0.250 0.250 0.250 Ho
0.500 0.500 0.500 Er
```

Summary:
* ΔE to the lowest computed polymorph: 53.8 meV/atom
* V: 121 Å³/f.u.
* E_tot: -0.18191 Ha/atom
* calculated formation energy: 0.1099 eV/atom
* DOS(E_F): 1.509 states/eV/atom

---

(3)
The following is a DFT calculation (PBE) of a relaxed structure of Nd3Ho6Er2Sc.

POSCAR file:
```
Nd3Ho6Er2Sc
1.0
6.139 0.000 -0.006
-3.067 5.317 -0.006
-1.011 -1.750 11.535
Nd Ho Er Sc
3 6 2 1
Direct
0.166 0.834 0.500 Nd
0.834 0.166 0.500 Nd
0.500 0.500 0.500 Nd
0.919 0.588 0.757 Ho
0.749 0.749 0.243 Ho
0.081 0.412 0.243 Ho
0.588 0.919 0.757 Ho
0.251 0.251 0.757 Ho
0.412 0.081 0.243 Ho
0.333 0.667 0.000 Er
0.667 0.333 0.000 Er
0.000 0.000 0.000 Sc
```

Summary:
* V: 376 Å³/f.u.
* E_tot: -0.17411 Ha/atom
* calculated formation energy: 0.0313 eV/atom
* DOS(E_F): 1.404 states/eV/atom

---

(4)
The following is a DFT calculation (PBE) of a relaxed structure of NdHo4Er2Sc.

POSCAR file:
```
NdHo4Er2Sc
1.0
9.200 -0.048 -1.712
-0.054 9.200 -1.712
-5.797 -5.801 8.175
Nd Ho Er Sc
2 8 4 2
Direct
0.500 0.500 0.500 Nd
0.000 0.000 0.000 Nd
0.247 0.741 0.994 Ho
0.759 0.253 0.506 Ho
0.241 0.747 0.494 Ho
0.753 0.259 0.006 Ho
0.756 0.741 0.001 Ho
0.759 0.744 0.499 Ho
0.241 0.256 0.501 Ho
0.244 0.259 0.999 Ho
0.500 0.000 0.000 Er
0.500 0.000 0.500 Er
0.000 0.000 0.500 Er
0.500 0.500 0.000 Er
0.000 0.500 0.000 Sc
0.000 0.500 0.500 Sc
```

Summary:
* V: 254 Å³/f.u.
* E_tot: -0.16065 Ha/atom
* calculated formation energy: 0.4454 eV/atom
* DOS(E_F): 2.229 states/eV/atom

---

(5)
The following is a DFT calculation (PBE) of a relaxed structure of Nd2Ho4ErSc.

POSCAR file:
```
Nd2Ho4ErSc
1.0
-0.161 4.965 0.611
-3.942 0.250 -3.073
-10.054 -0.901 4.673
Nd Ho Er Sc
2 4 1 1
Direct
0.000 0.000 0.000 Nd
0.500 0.000 0.500 Nd
0.000 0.747 0.754 Ho
0.000 0.253 0.246 Ho
0.500 0.754 0.246 Ho
0.500 0.246 0.754 Ho
0.000 0.500 0.500 Er
0.500 0.500 0.000 Sc
```

Summary:
* V: 249 Å³/f.u.
* E_tot: -0.17665 Ha/atom
* calculated formation energy: 0.0357 eV/atom
* DOS(E_F): 1.479 states/eV/atom

---

(6)
The following is a DFT calculation (PBE) of a relaxed structure of Nd4HoEr2Sc.

POSCAR file:
```
Nd4HoEr2Sc
1.0
5.104 0.000 0.000
0.000 4.981 1.071
0.000 2.911 10.700
Nd Ho Er Sc
4 1 2 1
Direct
0.000 0.756 0.745 Nd
0.000 0.244 0.255 Nd
0.500 0.744 0.255 Nd
0.500 0.256 0.745 Nd
0.500 0.500 0.000 Ho
0.000 0.000 0.000 Er
0.500 0.000 0.500 Er
0.000 0.500 0.500 Sc
```

Summary:
* V: 256 Å³/f.u.
* E_tot: -0.17869 Ha/atom
* calculated formation energy: 0.0258 eV/atom
* DOS(E_F): 1.315 states/eV/atom

---

(7)
The following is a DFT calculation (PBE) of a relaxed structure of Nd6Ho2Er3Sc.

POSCAR file:
```
Nd6Ho2Er3Sc
1.0
6.220 0.000 0.004
-3.108 5.387 0.004
-1.042 -1.804 11.524
Nd Ho Er Sc
6 2 3 1
Direct
0.917 0.587 0.752 Nd
0.752 0.752 0.248 Nd
0.083 0.413 0.248 Nd
0.587 0.917 0.752 Nd
0.248 0.248 0.752 Nd
0.413 0.083 0.248 Nd
0.333 0.667 0.000 Ho
0.667 0.333 0.000 Ho
0.167 0.833 0.500 Er
0.833 0.167 0.500 Er
0.500 0.500 0.500 Er
0.000 0.000 0.000 Sc
```

Summary:
* V: 386 Å³/f.u.
* E_tot: -0.17608 Ha/atom
* calculated formation energy: 0.0240 eV/atom
* DOS(E_F): 1.075 states/eV/atom

---

(8)
The following is a DFT calculation (PBE) of a relaxed structure of Nd3Ho2ErSe6.

POSCAR file:
```
Nd3Ho2ErSe6
1.0
7.101 -0.017 -0.003
-3.564 6.142 -0.003
-1.183 -2.049 6.916
Nd Ho Er Se
3 2 1 6
Direct
0.168 0.832 0.500 Nd
0.832 0.168 0.500 Nd
0.500 0.500 0.500 Nd
0.333 0.667 0.000 Ho
0.667 0.333 0.000 Ho
0.000 0.000 0.000 Er
0.923 0.591 0.767 Se
0.746 0.746 0.233 Se
0.077 0.409 0.233 Se
0.591 0.923 0.767 Se
0.254 0.254 0.767 Se
0.409 0.077 0.233 Se
```

Summary:
* V: 301 Å³/f.u.
* E_tot: -0.21541 Ha/atom
* DOS(E_F): 0.468 states/eV/atom
* uncorrected formation energy: -2066 kJ/mol of formula units

---

(9)
The following is a DFT calculation (PBE) of a relaxed structure of NdHo2ErSe6.

POSCAR file:
```
NdHo2ErSe6
1.0
7.245 0.001 0.000
3.623 6.274 0.000
3.623 2.092 6.486
Nd Ho Er Se
1 2 1 6
Direct
0.813 0.813 0.561 Nd
0.515 0.515 0.454 Ho
0.012 0.012 0.965 Ho
0.319 0.318 0.044 Er
0.609 0.227 0.247 Se
0.227 0.916 0.247 Se
0.916 0.610 0.247 Se
0.398 0.724 0.750 Se
0.724 0.128 0.750 Se
0.128 0.398 0.750 Se
```

Summary:
* V: 295 Å³/f.u.
* E_tot: -0.21247 Ha/atom
* DOS(E_F): 0.000 states/eV/atom
* uncorrected formation energy: -1778 kJ/mol of formula units

---

(10)
The following is a DFT calculation (PBE) of a relaxed structure of NdHo2Er3Se6.

POSCAR file:
```
NdHo2Er3Se6
1.0
7.053 -0.017 -0.001
-3.540 6.101 -0.001
-1.173 -2.031 6.683
Nd Ho Er Se
1 2 3 6
Direct
0.000 0.000 0.000 Nd
0.335 0.665 0.000 Ho
0.665 0.335 0.000 Ho
0.159 0.841 0.500 Er
0.841 0.159 0.500 Er
0.500 0.500 0.500 Er
0.914 0.570 0.741 Se
0.741 0.741 0.253 Se
0.086 0.430 0.259 Se
0.570 0.914 0.741 Se
0.259 0.259 0.747 Se
0.430 0.086 0.259 Se
```

Summary:
* V: 287 Å³/f.u.
* E_tot: -0.21211 Ha/atom
* DOS(E_F): 0.435 states/eV/atom
* uncorrected formation energy: -2001 kJ/mol of formula units

---

(11)
The following is a DFT calculation (PBE) of a relaxed structure of Nd2HoEr3Se6.

POSCAR file:
```
Nd2HoEr3Se6
1.0
4.070 0.000 0.000
0.000 8.292 0.225
-2.035 -2.466 8.639
Nd Ho Er Se
2 1 3 6
Direct
0.831 0.663 0.662 Nd
0.169 0.337 0.338 Nd
0.500 0.000 0.000 Ho
0.500 0.500 0.000 Er
0.830 0.166 0.659 Er
0.170 0.834 0.341 Er
0.335 0.929 0.670 Se
0.662 0.594 0.323 Se
0.665 0.071 0.330 Se
0.995 0.249 0.991 Se
0.005 0.751 0.009 Se
0.338 0.406 0.677 Se
```

Summary:
* V: 294 Å³/f.u.
* E_tot: -0.21343 Ha/atom
* DOS(E_F): 0.444 states/eV/atom
* uncorrected formation energy: -2025 kJ/mol of formula units

---

(12)
The following is a DFT calculation (PBE) of a relaxed structure of Nd3HoEr2Se6.

POSCAR file:
```
Nd3HoEr2Se6
1.0
7.089 -0.016 -0.004
-3.557 6.132 -0.004
-1.182 -2.046 6.924
Nd Ho Er Se
3 1 2 6
Direct
0.166 0.834 0.500 Nd
0.834 0.166 0.500 Nd
0.500 0.500 0.500 Nd
0.000 0.000 0.000 Ho
0.334 0.666 0.000 Er
0.666 0.334 0.000 Er
0.923 0.588 0.768 Se
0.743 0.743 0.232 Se
0.077 0.412 0.232 Se
0.588 0.923 0.768 Se
0.257 0.257 0.768 Se
0.412 0.077 0.232 Se
```

Summary:
* V: 301 Å³/f.u.
* E_tot: -0.21522 Ha/atom
* DOS(E_F): 0.468 states/eV/atom
* uncorrected formation energy: -2061 kJ/mol of formula units